(1)
3
Lattice="-2.8148 1.3951 1.2672 -1.4796 -0.2248 -3.0390 -0.3621 -7.2023 2.5970" Properties=species:S:1:pos:R:3 comment="DyTmZr PBE optimized geometry" e_above_lowest_polymorph_kj_per_mol_fu=9 pbc="T T T"
Tm -3.0375 -1.7627 -0.2787
Zr -1.6669 -4.3957 1.1367
Dy -4.6086 -5.9056 0.7926

---

(2)
11
Lattice="-2.7779 0.7472 -1.8692 -3.6729 -7.3156 2.5340 -4.1829 5.8653 8.5610" Properties=species:S:1:pos:R:3 comment="Dy5Tm4Zr2 PBE optimized geometry" dft_energy_ev_per_cell=-56.9 pbc="T T T"
Dy -3.3670 -2.4717 4.0156
Dy -1.3917 -0.4073 1.9054
Dy -1.8365 -3.6578 1.2670
Dy -6.4641 -1.0429 9.1895
Dy -4.4889 1.0215 7.0793
Tm -6.3854 -1.7356 5.6476
Tm -5.6545 4.3708 7.0024
Tm -4.2483 1.0326 3.5781
Tm -4.9792 -5.0738 2.2233
Zr -2.8348 3.3134 5.5374
Zr -5.0210 -4.7637 5.5576